A plane-wave DFT calculation with PBE-GGA was carried out for a relaxed Tb3CeTm crystal.

For the electronic total energy, the calculation gives -4.442 eV per atom. Its size of the total moment is 1.06 μB per formula unit. As for the formation energy: 0.417 eV/atom. The density is 7879 kg/m3.

The space group is Cmcm (No. 63) and the conventional cell measures 6.662, 9.127 and 10.894 Å, with angles of 90.00, 90.00 and 90.00 degrees. Symmetry generates all atoms from Tb at (0.000, 0.234, 0.250), Tb at (0.249, 0.500, 0.000), Ce at (0.000, 0.422, 0.750) and Tm at (0.000, 0.111, 0.750).

A plane-wave DFT calculation with PBE-GGA was carried out for a relaxed TbCeTm2 crystal.

For the electronic total energy, the calculation gives -4.820 eV per atom. Its size of the total moment is 0.01 μB per formula unit. As for the formation energy: 0.057 eV/atom. The density is 8760 kg/m3.

The space group is C2/m (No. 12) and the conventional cell measures 12.827, 3.451 and 10.910 Å, with angles of 90.00, 90.40 and 90.00 degrees. Symmetry generates all atoms from Tb at (0.133, 0.000, 0.483), Ce at (0.110, 0.000, 0.008), Tm at (0.020, 0.500, 0.744) and Tm at (0.245, 0.500, 0.241).

A plane-wave DFT calculation with PBE-GGA was carried out for a relaxed TbCeTm2 crystal.

For the electronic total energy, the calculation gives -4.818 eV per atom. Its size of the total moment is 1.13 μB per formula unit. As for the formation energy: 0.059 eV/atom. The density is 8594 kg/m3.

The space group is P-6m2 (No. 187) and the conventional cell measures 3.5412, 3.5412 and 11.3317 Å, with angles of 90.00, 90.00 and 120.00 degrees. Symmetry generates all atoms from Tb at (0.0000, 0.0000, 0.0000), Ce at (0.0000, 0.0000, 0.5000) and Tm at (0.3333, 0.6667, 0.2496).

A plane-wave DFT calculation with PBE-GGA was carried out for a relaxed Tb6CeTm3 crystal.

For the electronic total energy, the calculation gives -4.345 eV per atom. Its size of the total moment is 1.45 μB per formula unit. As for the formation energy: 0.368 eV/atom. The density is 7958 kg/m3.

The space group is C2/m (No. 12) and the conventional cell measures 13.964, 6.446 and 8.867 Å, with angles of 90.00, 123.19 and 90.00 degrees. Symmetry generates all atoms from Tb at (0.209, 0.000, 0.449), Tb at (0.247, 0.260, 0.174), Ce at (0.000, 0.000, 0.000), Tm at (0.000, 0.000, 0.500) and Tm at (0.007, 0.500, 0.222).

A plane-wave DFT calculation with PBE-GGA was carried out for a relaxed TbCeTm6 crystal.

For the electronic total energy, the calculation gives -4.445 eV per atom. Its size of the total moment is 1.65 μB per formula unit. As for the formation energy: 0.229 eV/atom. The density is 8824 kg/m3.

The space group is P-1 (No. 2) and the conventional cell measures 6.400, 6.677 and 6.823 Å, with angles of 118.33, 103.54 and 90.61 degrees. Symmetry generates all atoms from Tb at (0.000, 0.000, 0.000), Ce at (0.500, 0.000, 0.000), Tm at (0.234, 0.573, 0.481), Tm at (0.251, 0.548, 0.002) and Tm at (0.270, 0.096, 0.525).

A plane-wave DFT calculation with PBE-GGA was carried out for a relaxed Tb7CeTm12 crystal.

For the electronic total energy, the calculation gives -3.862 eV per atom. Its size of the total moment is 1.54 μB per formula unit. As for the formation energy: 0.738 eV/atom. The density is 7827 kg/m3.

The space group is Im-3m (No. 229) and the conventional cell measures 11.165, 11.165 and 11.165 Å, with angles of 90.00, 90.00 and 90.00 degrees. Symmetry generates all atoms from Tb at (0.000, 0.000, 0.500), Tb at (0.250, 0.250, 0.250), Ce at (0.000, 0.000, 0.000) and Tm at (0.000, 0.256, 0.256).

- The lowest size of the total moment belongs to which entry?
  number 2